[1]
First-principles (PBE) data for a geometry-optimized KHg3 structure, as listed in Alexandria.

Structure (CIF):
```
data_KHg3
_cell_length_a 5.856
_cell_length_b 5.856
_cell_length_c 5.207
_cell_angle_alpha 63.73
_cell_angle_beta 63.73
_cell_angle_gamma 52.69
_symmetry_space_group_name_H-M 'P 1'
_symmetry_Int_Tables_number 1
loop_
_symmetry_equiv_pos_as_xyz
'x,y,z'
loop_
_atom_site_label
_atom_site_fract_x
_atom_site_fract_y
_atom_site_fract_z
K1 0.000 0.000 0.000
Hg1 0.500 0.500 0.500
Hg2 0.750 0.750 0.749
Hg3 0.250 0.250 0.251
```

Summary:
Density of states at the Fermi level = 0.8 states/eV/cell
Final energy = -0.7175 eV per atom
ΔH_f (0 K) = -0.217 eV per atom
Space group = C2/m (12)
Magnetic moment = 0.00 μB/atom

***

[2]
First-principles (PBE) data for a geometry-optimized LaNd2UO8 structure, as listed in Alexandria.

Structure (CIF):
```
data_LaNd2UO8
_cell_length_a 3.990
_cell_length_b 5.545
_cell_length_c 7.795
_cell_angle_alpha 90.00
_cell_angle_beta 90.00
_cell_angle_gamma 90.01
_symmetry_space_group_name_H-M 'P 1'
_symmetry_Int_Tables_number 1
loop_
_symmetry_equiv_pos_as_xyz
'x,y,z'
loop_
_atom_site_label
_atom_site_fract_x
_atom_site_fract_y
_atom_site_fract_z
La1 0.000 0.000 0.500
Nd1 0.500 0.500 0.757
Nd2 0.500 0.500 0.243
U1 0.000 0.000 0.000
O1 0.000 0.763 0.217
O2 0.500 0.779 0.000
O3 0.000 0.237 0.217
O4 0.000 0.237 0.783
O5 0.500 0.221 0.000
O6 0.000 0.763 0.783
O7 0.500 0.742 0.500
O8 0.500 0.258 0.500
```

Summary:
Density of states at the Fermi level = 8.3 states/eV/cell
Final energy = -8.6522 eV per atom
Space group = Pmmm (47)
Magnetic moment = 0.08 μB/atom

***

[3]
First-principles (PBE) data for a geometry-optimized Mg2MnCr structure, as listed in Alexandria.

Structure (CIF):
```
data_Mg2MnCr
_cell_length_a 5.181
_cell_length_b 5.508
_cell_length_c 2.886
_cell_angle_alpha 79.09
_cell_angle_beta 81.10
_cell_angle_gamma 115.45
_symmetry_space_group_name_H-M 'P 1'
_symmetry_Int_Tables_number 1
loop_
_symmetry_equiv_pos_as_xyz
'x,y,z'
loop_
_atom_site_label
_atom_site_fract_x
_atom_site_fract_y
_atom_site_fract_z
Cr1 0.500 0.500 0.000
Mg1 0.000 0.000 0.000
Mg2 0.500 0.000 0.500
Mn1 0.000 0.500 0.500
```

Summary:
Density of states at the Fermi level = 3.4 states/eV/cell
Final energy = -5.0739 eV per atom
ΔH_f (0 K) = 0.422 eV per atom
ΔE to the lowest computed polymorph = 260 meV per atom
Space group = C2/m (12)
Magnetic moment = 0.03 μB/atom

***

[4]
First-principles (PBE) data for a geometry-optimized LiLa2S structure, as listed in Alexandria.

Structure (CIF):
```
data_LiLa2S
_cell_length_a 8.359
_cell_length_b 8.359
_cell_length_c 6.880
_cell_angle_alpha 52.59
_cell_angle_beta 52.59
_cell_angle_gamma 90.00
_symmetry_space_group_name_H-M 'P 1'
_symmetry_Int_Tables_number 1
loop_
_symmetry_equiv_pos_as_xyz
'x,y,z'
loop_
_atom_site_label
_atom_site_fract_x
_atom_site_fract_y
_atom_site_fract_z
S1 0.000 0.000 0.000
S2 0.750 0.250 0.500
Li1 0.500 0.500 0.000
Li2 0.250 0.750 0.500
La1 0.678 0.125 0.250
La2 0.072 0.625 0.250
La3 0.375 0.322 0.750
La4 0.875 0.928 0.750
```

Summary:
Density of states at the Fermi level = 7.9 states/eV/cell
Final energy = -4.5691 eV per atom
Space group = I-42d (122)
Magnetic moment = 0.25 μB/atom

***

[5]
First-principles (PBE) data for a geometry-optimized NaLaRh structure, as listed in Alexandria.

Structure (CIF):
```
data_NaLaRh
_cell_length_a 3.943
_cell_length_b 5.658
_cell_length_c 8.706
_cell_angle_alpha 116.53
_cell_angle_beta 90.02
_cell_angle_gamma 69.80
_symmetry_space_group_name_H-M 'P 1'
_symmetry_Int_Tables_number 1
loop_
_symmetry_equiv_pos_as_xyz
'x,y,z'
loop_
_atom_site_label
_atom_site_fract_x
_atom_site_fract_y
_atom_site_fract_z
Na1 0.178 0.645 0.927
Na2 0.822 0.355 0.073
Rh1 0.151 0.700 0.361
Rh2 0.849 0.300 0.639
La1 0.584 0.834 0.631
La2 0.416 0.166 0.369
```

Summary:
Density of states at the Fermi level = 2.9 states/eV/cell
Final energy = -4.8643 eV per atom
ΔH_f (0 K) = -0.332 eV per atom
Space group = P-1 (2)
Magnetic moment = 0.00 μB/atom

***

[6]
First-principles (PBE) data for a geometry-optimized SrMo2W structure, as listed in Alexandria.

Structure (CIF):
```
data_SrMo2W
_cell_length_a 3.107
_cell_length_b 5.032
_cell_length_c 4.772
_cell_angle_alpha 90.00
_cell_angle_beta 90.00
_cell_angle_gamma 90.00
_symmetry_space_group_name_H-M 'P 1'
_symmetry_Int_Tables_number 1
loop_
_symmetry_equiv_pos_as_xyz
'x,y,z'
loop_
_atom_site_label
_atom_site_fract_x
_atom_site_fract_y
_atom_site_fract_z
Mo1 0.000 0.000 0.000
Mo2 0.500 0.500 0.000
Sr1 0.500 0.000 0.500
W1 0.000 0.500 0.500
```

Summary:
Density of states at the Fermi level = 4.0 states/eV/cell
Final energy = -7.7987 eV per atom
ΔH_f (0 K) = 1.276 eV per atom
ΔE to the lowest computed polymorph = 572 meV per atom
Space group = Pmmm (47)
Magnetic moment = 0.00 μB/atom

***

[7]
First-principles (PBE) data for a geometry-optimized Li2AcNdGe2 structure, as listed in Alexandria.

Structure (CIF):
```
data_Li2AcNdGe2
_cell_length_a 4.590
_cell_length_b 4.590
_cell_length_c 7.881
_cell_angle_alpha 90.00
_cell_angle_beta 90.00
_cell_angle_gamma 120.00
_symmetry_space_group_name_H-M 'P 1'
_symmetry_Int_Tables_number 1
loop_
_symmetry_equiv_pos_as_xyz
'x,y,z'
loop_
_atom_site_label
_atom_site_fract_x
_atom_site_fract_y
_atom_site_fract_z
Li1 0.333 0.667 0.708
Li2 0.667 0.333 0.292
Ac1 0.000 0.000 0.000
Nd1 0.000 0.000 0.500
Ge1 0.333 0.667 0.270
Ge2 0.667 0.333 0.730
```

Summary:
Density of states at the Fermi level = 1.0 states/eV/cell
Final energy = -4.2974 eV per atom
ΔH_f (0 K) = -0.641 eV per atom
Space group = P-3m1 (164)
Magnetic moment = 0.00 μB/atom

***

[8]
First-principles (PBE) data for a geometry-optimized Pr5Bi5O2 structure, as listed in Alexandria.

Structure (CIF):
```
data_Pr5Bi5O2
_cell_length_a 4.177
_cell_length_b 7.695
_cell_length_c 11.372
_cell_angle_alpha 99.39
_cell_angle_beta 90.00
_cell_angle_gamma 105.75
_symmetry_space_group_name_H-M 'P 1'
_symmetry_Int_Tables_number 1
loop_
_symmetry_equiv_pos_as_xyz
'x,y,z'
loop_
_atom_site_label
_atom_site_fract_x
_atom_site_fract_y
_atom_site_fract_z
Pr1 0.082 0.163 0.328
Pr2 0.640 0.280 0.798
Pr3 0.360 0.720 0.202
Pr4 0.918 0.837 0.672
Pr5 0.000 0.000 0.000
Bi1 0.500 0.000 0.500
Bi2 0.664 0.329 0.112
Bi3 0.760 0.521 0.393
Bi4 0.240 0.479 0.607
Bi5 0.336 0.671 0.888
O1 0.059 0.119 0.812
O2 0.941 0.881 0.188
```

Summary:
Density of states at the Fermi level = 5.1 states/eV/cell
Final energy = -5.8268 eV per atom
Space group = C2/m (12)
Magnetic moment = 0.00 μB/atom

***

[9]
First-principles (PBE) data for a geometry-optimized Sm4Zn3Pb structure, as listed in Alexandria.

Structure (CIF):
```
data_Sm4Zn3Pb
_cell_length_a 5.228
_cell_length_b 7.516
_cell_length_c 10.455
_cell_angle_alpha 90.00
_cell_angle_beta 90.00
_cell_angle_gamma 90.00
_symmetry_space_group_name_H-M 'P 1'
_symmetry_Int_Tables_number 1
loop_
_symmetry_equiv_pos_as_xyz
'x,y,z'
loop_
_atom_site_label
_atom_site_fract_x
_atom_site_fract_y
_atom_site_fract_z
Pb1 0.000 0.500 0.000
Pb2 0.000 0.500 0.500
Zn1 0.000 0.000 0.000
Zn2 0.000 0.000 0.500
Zn3 0.500 0.000 0.750
Zn4 0.500 0.000 0.250
Zn5 0.499 0.500 0.750
Zn6 0.501 0.500 0.250
Sm1 0.500 0.764 0.000
Sm2 0.500 0.764 0.500
Sm3 0.500 0.236 0.000
Sm4 0.500 0.236 0.500
Sm5 0.000 0.764 0.750
Sm6 0.000 0.764 0.250
Sm7 0.000 0.236 0.250
Sm8 0.000 0.236 0.750
```

Summary:
Density of states at the Fermi level = 16.4 states/eV/cell
Final energy = -3.6628 eV per atom
ΔH_f (0 K) = -0.362 eV per atom
Space group = P4/mmm (123)
Magnetic moment = 0.00 μB/atom

***

[10]
First-principles (PBE) data for a geometry-optimized CdMo2Cl2 structure, as listed in Alexandria.

Structure (CIF):
```
data_CdMo2Cl2
_cell_length_a 4.189
_cell_length_b 4.189
_cell_length_c 6.179
_cell_angle_alpha 70.18
_cell_angle_beta 70.18
_cell_angle_gamma 90.00
_symmetry_space_group_name_H-M 'P 1'
_symmetry_Int_Tables_number 1
loop_
_symmetry_equiv_pos_as_xyz
'x,y,z'
loop_
_atom_site_label
_atom_site_fract_x
_atom_site_fract_y
_atom_site_fract_z
Mo1 0.750 0.250 0.500
Mo2 0.250 0.750 0.500
Cl1 0.365 0.365 0.270
Cl2 0.635 0.635 0.730
Cd1 0.000 0.000 0.000
```

Summary:
Density of states at the Fermi level = 6.1 states/eV/cell
Final energy = -4.6852 eV per atom
ΔE to the lowest computed polymorph = 0 meV per atom
Space group = I4/mmm (139)
Magnetic moment = 0.00 μB/atom

***

[11]
First-principles (PBE) data for a geometry-optimized Tb2Ho3ErSe6 structure, as listed in Alexandria.

Structure (CIF):
```
data_Tb2Ho3ErSe6
_cell_length_a 4.054
_cell_length_b 8.165
_cell_length_c 9.085
_cell_angle_alpha 103.13
_cell_angle_beta 102.89
_cell_angle_gamma 90.00
_symmetry_space_group_name_H-M 'P 1'
_symmetry_Int_Tables_number 1
loop_
_symmetry_equiv_pos_as_xyz
'x,y,z'
loop_
_atom_site_label
_atom_site_fract_x
_atom_site_fract_y
_atom_site_fract_z
Tb1 0.832 0.665 0.665
Tb2 0.168 0.335 0.335
Ho1 0.500 0.500 0.000
Ho2 0.832 0.167 0.663
Ho3 0.168 0.833 0.337
Er1 0.500 0.000 0.000
Se1 0.335 0.920 0.669
Se2 0.665 0.585 0.331
Se3 0.665 0.080 0.331
Se4 0.999 0.248 0.998
Se5 0.001 0.752 0.002
Se6 0.335 0.415 0.669
```

Summary:
Density of states at the Fermi level = 5.5 states/eV/cell
Final energy = -5.7725 eV per atom
Space group = C2/m (12)
Magnetic moment = 0.00 μB/atom

***

[12]
First-principles (PBE) data for a geometry-optimized PrDyZn2Pd5 structure, as listed in Alexandria.

Structure (CIF):
```
data_PrDyZn2Pd5
_cell_length_a 4.203
_cell_length_b 4.203
_cell_length_c 9.445
_cell_angle_alpha 90.00
_cell_angle_beta 90.00
_cell_angle_gamma 90.00
_symmetry_space_group_name_H-M 'P 1'
_symmetry_Int_Tables_number 1
loop_
_symmetry_equiv_pos_as_xyz
'x,y,z'
loop_
_atom_site_label
_atom_site_fract_x
_atom_site_fract_y
_atom_site_fract_z
Pr1 0.000 0.000 0.500
Dy1 0.000 0.000 0.000
Zn1 0.500 0.500 0.127
Zn2 0.500 0.500 0.873
Pd1 0.000 0.500 0.271
Pd2 0.500 0.000 0.271
Pd3 0.000 0.500 0.729
Pd4 0.500 0.000 0.729
Pd5 0.500 0.500 0.500
```

Summary:
Density of states at the Fermi level = 4.3 states/eV/cell
Final energy = -4.8559 eV per atom
ΔH_f (0 K) = -0.645 eV per atom
Space group = P4/mmm (123)
Magnetic moment = 0.00 μB/atom